No. 1
Here is a geometry-optimized Er2CuGe6 structure from the Alexandria database. Energies are from PBE-GGA.

total magnetization = 0.0 μB/cell
energy of formation = -3.6 eV/f.u.
V = 350.7 Å³ per cell
density of states at the Fermi level = 1.66 states/eV/f.u.

a = 4.072 Å, b = 4.046 Å, c = 21.285 Å
α = 90.00°, β = 90.00°, γ = 90.00°
Space group Amm2 (No. 38)
Symmetry-distinct sites (fractional):
Er: 0.000 0.000 0.000 x2
Er: 0.000 0.000 0.337 x2
Cu: 0.500 0.000 0.781 x2
Ge: 0.000 0.000 0.602 x2
Ge: 0.000 0.000 0.720 x2
Ge: 0.500 0.000 0.102 x2
Ge: 0.500 0.000 0.220 x2
Ge: 0.500 0.000 0.463 x2
Ge: 0.500 0.000 0.890 x2



No. 2
Here is a geometry-optimized Er3Cu2Ge3 structure from the Alexandria database. Energies are from PBE-GGA.

total magnetization = 3.3 μB/cell
energy of formation = -5.5 eV/f.u.
V = 618.4 Å³ per cell
density of states at the Fermi level = 3.78 states/eV/f.u.

a = 4.197 Å, b = 10.484 Å, c = 14.052 Å
α = 90.00°, β = 90.00°, γ = 90.00°
Space group Cmcm (No. 63)
Symmetry-distinct sites (fractional):
Er: 0.000 0.082 0.113 x8
Er: 0.000 0.364 0.250 x4
Cu: 0.000 0.213 0.594 x8
Ge: 0.000 0.341 0.750 x4
Ge: 0.000 0.386 0.042 x8



No. 3
Here is a geometry-optimized ErCuGe2 structure from the Alexandria database. Energies are from PBE-GGA.

total magnetization = 0.0 μB/cell
energy of formation = -1.9 eV/f.u.
V = 297.5 Å³ per cell
density of states at the Fermi level = 2.02 states/eV/f.u.

a = 4.037 Å, b = 4.037 Å, c = 18.260 Å
α = 90.00°, β = 90.00°, γ = 90.00°
Space group I4/mmm (No. 139)
Symmetry-distinct sites (fractional):
Er: 0.000 0.000 0.120 x4
Cu: 0.000 0.500 0.250 x4
Ge: 0.000 0.000 0.329 x4
Ge: 0.000 0.500 0.000 x4



No. 4
Here is a geometry-optimized ErCuGe2 structure from the Alexandria database. Energies are from PBE-GGA.

total magnetization = 0.0 μB/cell
energy of formation = -1.5 eV/f.u.
V = 222.0 Å³ per cell
density of states at the Fermi level = 1.07 states/eV/f.u.

a = 4.1256 Å, b = 4.1256 Å, c = 15.0638 Å
α = 90.00°, β = 90.00°, γ = 120.00°
Space group R-3m (No. 166, hexagonal axes)
Symmetry-distinct sites (fractional):
Er: 0.0000 0.0000 0.0000 x3
Cu: 0.0000 0.0000 0.5000 x3
Ge: 0.0000 0.0000 0.2220 x6



No. 5
Here is a geometry-optimized HoEr2Cu2Ge2 structure from the Alexandria database. Energies are from PBE-GGA.

total magnetization = 0.0 μB/cell
energy of formation = -3.4 eV/f.u.
V = 453.9 Å³ per cell
density of states at the Fermi level = 4.84 states/eV/f.u.

a = 4.1782 Å, b = 4.1782 Å, c = 30.0245 Å
α = 90.00°, β = 90.00°, γ = 120.00°
Space group R-3m (No. 166, hexagonal axes)
Symmetry-distinct sites (fractional):
Ho: 0.0000 0.0000 0.0000 x3
Er: 0.0000 0.0000 0.1220 x6
Cu: 0.0000 0.0000 0.3937 x6
Ge: 0.0000 0.0000 0.2696 x6



No. 6
Here is a geometry-optimized HoErCu2Ge2 structure from the Alexandria database. Energies are from PBE-GGA.

total magnetization = 0.0 μB/cell
energy of formation = -4.1 eV/f.u.
V = 113.3 Å³ per cell
density of states at the Fermi level = 1.16 states/eV/f.u.

a = 4.2256 Å, b = 4.2256 Å, c = 7.3298 Å
α = 90.00°, β = 90.00°, γ = 120.00°
Space group P-3m1 (No. 164)
Symmetry-distinct sites (fractional):
Ho: 0.0000 0.0000 0.0000 x1
Er: 0.0000 0.0000 0.5000 x1
Cu: 0.3333 0.6667 0.7465 x2
Ge: 0.3333 0.6667 0.2509 x2